(1)
Entry from Alexandria via LeMat-Bulk: KOsRh after structural relaxation (PBE).

Cell: 4.9432 4.9432 2.6167 Å, 90.00 90.00 120.00°
Space group P-6m2 (No. 187)
Asymmetric unit:
K 0.0000 0.0000 0.0000 x1
Os 0.6667 0.3333 0.5000 x1
Rh 0.3333 0.6667 0.5000 x1

Summary:
* calculated formation energy: 1.314 eV per atom
* uncorrected energy: -5.25 eV per atom

***

(2)
Entry from Alexandria via LeMat-Bulk: KOsRh after structural relaxation (PBE).

Cell: 4.8160 12.1719 4.8026 Å, 90.00 109.82 90.00°
Space group C2/c (No. 15)
Asymmetric unit:
K 0.0000 0.2501 0.2500 x4
Os 0.0000 0.0318 0.7500 x4
Rh 0.0000 0.4652 0.7500 x4

Summary:
* calculated formation energy: 0.610 eV per atom
* uncorrected energy: -5.95 eV per atom

***

(3)
Entry from Alexandria via LeMat-Bulk: KOsRh after structural relaxation (PBE).

Cell: 5.6530 5.6530 9.2218 Å, 90.00 90.00 120.00°
Space group P6_3/mmc (No. 194)
Asymmetric unit:
K 0.3333 0.6667 0.2500 x2
Os 0.0000 0.0000 0.0000 x2
Rh 0.0000 0.0000 0.2500 x2

Summary:
* calculated formation energy: 1.972 eV per atom
* uncorrected energy: -4.59 eV per atom

***

- Which formula does entry 3 have?
  KOsRh